VASP calculation (PBE) on an optimized crystal structure of AcDyGe.

## Properties
* theoretical density: 8.0 g/cm³
* distance to the lowest polymorph of the same formula: 0.0 meV/atom
* SG: F-43m, No. 216

Cell lengths 5.1430, 5.1430, 5.1430 Å; angles 60.00, 60.00, 60.00 degrees
Closest atoms and distances in Å follow each position.
Sites, in units of the cell vectors:
1 Ac 0.2500 0.2500 0.2500  4 Dy 3.15
2 Dy 0.0000 0.0000 0.0000  4 Ge 3.15, 4 Ac 3.15
3 Ge 0.7500 0.7500 0.7500  4 Dy 3.15

=====

VASP calculation (PBE) on an optimized crystal structure of MgScCoSn.

## Properties
* theoretical density: 5.9 g/cm³
* distance to the lowest polymorph of the same formula: 88.1 meV/atom
* SG: F-43m, No. 216

Cell lengths 4.6276, 4.6276, 4.6276 Å; angles 60.00, 60.00, 60.00 degrees
Closest atoms and distances in Å follow each position.
Sites, in units of the cell vectors:
1 Co 0.5000 0.5000 0.5000  4 Sn 2.83, 4 Mg 2.83
2 Mg 0.7500 0.7500 0.7500  4 Sc 2.83, 4 Co 2.83
3 Sc 0.0000 0.0000 0.0000  4 Mg 2.83, 4 Sn 2.83
4 Sn 0.2500 0.2500 0.2500  4 Co 2.83, 4 Sc 2.83

=====

VASP calculation (PBE) on an optimized crystal structure of Li4Tb2O5.

## Properties
* VASP energy: -6.33 eV/atom
* theoretical density: 5.1 g/cm³
* SG: Cmmm, No. 65

Cell lengths 4.4894, 7.1552, 4.5078 Å; angles 71.64, 90.00, 90.00 degrees
Closest atoms and distances in Å follow each position.
Sites, in units of the cell vectors:
1 Li 0.0000 0.0000 0.0000  4 O 2.14-2.24
2 Li 0.0000 0.3759 0.3121  5 O 2.10-2.29
3 Li 0.5000 0.0000 0.5000  4 O 2.23-2.25
4 Li 0.0000 0.6241 0.6879  5 O 2.10-2.29
5 O 0.5000 0.0000 0.0000  2 Tb 2.15, 4 Li 2.24-2.25
6 O 0.0000 0.6846 0.1577  4 Li 2.10-2.29, 2 Tb 2.24
7 O 0.5000 0.3289 0.3356  3 Li 2.23-2.27, 3 Tb 2.26-2.41
8 O 0.5000 0.6711 0.6644  3 Li 2.23-2.27, 3 Tb 2.26-2.41
9 O 0.0000 0.3154 0.8423  4 Li 2.10-2.29, 2 Tb 2.24
10 Tb 0.5000 0.6832 0.1584  6 O 2.15-2.41
11 Tb 0.5000 0.3168 0.8416  6 O 2.15-2.41

=====

Question: What is the formula in the third record?
Answer: Li4Tb2O5